Y6C2SCl2, relaxed, DFT PBE; density of states at the Fermi level = 4.882 states/eV per cell; DFT total energy = -7.04 eV per atom; raw formation energy = -1.124 eV/atom
1.0
-4.3701 3.5526 3.2973
-1.8728 -5.4661 -3.0340
3.1825 -2.7709 5.2023
Y C S Cl
6 2 1 2
direct
0.7015 0.7015 0.7124
0.0712 0.4240 0.7096
0.2985 0.2985 0.2876
0.4240 0.0712 0.7096
0.9288 0.5760 0.2904
0.5760 0.9288 0.2904
0.3316 0.6684 0.5000
0.6684 0.3316 0.5000
0.0000 0.0000 0.5000
0.8411 0.1589 0.0000
0.1589 0.8411 0.0000